LiGa2Pb | GGA-PBE | optimized geometry

Lattice parameters (Å, degrees): 17.0703 3.2239 3.2205 90.00 100.71 90.00
Last column: nearest neighbours and their distance in Å.
Fractional positions:
Li1 0.0000 0.0000 0.0000  4 Ga 2.84-2.85, 4 Pb 3.14-3.15
Li2 0.5000 0.5000 0.0000  4 Ga 2.84-2.85, 4 Pb 3.14-3.15
Ga1 0.1016 0.5000 0.6017  4 Ga 2.80-2.81, 4 Li 2.84-2.85
Ga2 0.1991 0.0000 0.2028  4 Ga 2.80-2.81, 1 Pb 2.88
Ga3 0.6016 0.0000 0.6017  4 Ga 2.80-2.81, 4 Li 2.84-2.85
Ga4 0.6991 0.5000 0.2028  4 Ga 2.80-2.81, 1 Pb 2.88
Pb1 0.3708 0.0000 0.3721  1 Ga 2.88, 4 Li 3.14-3.15, 4 Pb 3.22
Pb2 0.8708 0.5000 0.3721  1 Ga 2.88, 4 Li 3.14-3.15, 4 Pb 3.22

## Properties
Electronic total energy (eV per atom): -3.009
ΔH_f (0 K) (kJ per mole of atoms): -9